A relaxed structure of Re2As, computed with GGA-PBEsol.

```
Re2As
1.0
4.085 0.000 0.000
2.043 3.538 0.000
2.043 1.179 3.336
Re As
2 1
direct
0.250 0.250 0.250
0.750 0.750 0.750
0.000 0.000 0.000
```

Summary:
Theoretical density, Mg/m³: 15.407
Density of states at the Fermi level, states/eV/atom: 1.349
E_form, eV/atom: 0.8768